(1)
The following is a DFT calculation (PBE) of a relaxed structure of Li2CaDyAu4.

abc: 4.6173 4.6173 27.1448
angles: 90.00 90.00 120.00
Space group R-3m (No. 166, hexagonal axes)
Unique sites:
Li 0.0000 0.0000 0.2504 (multiplicity 6)
Ca 0.0000 0.0000 0.5000 (multiplicity 3)
Dy 0.0000 0.0000 0.0000 (multiplicity 3)
Au 0.0000 0.0000 0.1086 (multiplicity 6)
Au 0.0000 0.0000 0.3859 (multiplicity 6)

Values from the calculation:
ΔE_f ... -0.686 eV/atom



(2)
The following is a DFT calculation (PBE) of a relaxed structure of LiCaDy2Au4.

abc: 4.9862 4.9862 24.3984
angles: 90.00 90.00 120.00
Space group R-3m (No. 166, hexagonal axes)
Unique sites:
Li 0.0000 0.0000 0.0000 (multiplicity 3)
Ca 0.0000 0.0000 0.5000 (multiplicity 3)
Dy 0.0000 0.0000 0.2546 (multiplicity 6)
Au 0.0000 0.0000 0.1210 (multiplicity 6)
Au 0.0000 0.0000 0.3756 (multiplicity 6)

Values from the calculation:
ΔE_f ... -0.754 eV/atom



(3)
The following is a DFT calculation (PBE) of a relaxed structure of CaPrDy2Au4.

abc: 5.1419 5.1419 25.3482
angles: 90.00 90.00 120.00
Space group R-3m (No. 166, hexagonal axes)
Unique sites:
Ca 0.0000 0.0000 0.0000 (multiplicity 3)
Pr 0.0000 0.0000 0.5000 (multiplicity 3)
Dy 0.0000 0.0000 0.2531 (multiplicity 6)
Au 0.0000 0.0000 0.1243 (multiplicity 6)
Au 0.0000 0.0000 0.3761 (multiplicity 6)

Values from the calculation:
ΔE_f ... -0.802 eV/atom



(4)
The following is a DFT calculation (PBE) of a relaxed structure of Ca2PrDyAu4.

abc: 5.1502 5.1502 25.3129
angles: 90.00 90.00 120.00
Space group R-3m (No. 166, hexagonal axes)
Unique sites:
Ca 0.0000 0.0000 0.2492 (multiplicity 6)
Pr 0.0000 0.0000 0.0000 (multiplicity 3)
Dy 0.0000 0.0000 0.5000 (multiplicity 3)
Au 0.0000 0.0000 0.1275 (multiplicity 6)
Au 0.0000 0.0000 0.3790 (multiplicity 6)

Values from the calculation:
ΔE_f ... -0.806 eV/atom



(5)
The following is a DFT calculation (PBE) of a relaxed structure of SrCa2DyAu4.

abc: 5.1752 5.1752 25.7357
angles: 90.00 90.00 120.00
Space group R-3m (No. 166, hexagonal axes)
Unique sites:
Sr 0.0000 0.0000 0.0000 (multiplicity 3)
Ca 0.0000 0.0000 0.2497 (multiplicity 6)
Dy 0.0000 0.0000 0.5000 (multiplicity 3)
Au 0.0000 0.0000 0.1321 (multiplicity 6)
Au 0.0000 0.0000 0.3830 (multiplicity 6)

Values from the calculation:
ΔE_f ... -0.788 eV/atom



(6)
The following is a DFT calculation (PBE) of a relaxed structure of CaTbDy2Au4.

abc: 5.0934 5.0934 25.0924
angles: 90.00 90.00 120.00
Space group R-3m (No. 166, hexagonal axes)
Unique sites:
Ca 0.0000 0.0000 0.0000 (multiplicity 3)
Tb 0.0000 0.0000 0.5000 (multiplicity 3)
Dy 0.0000 0.0000 0.2519 (multiplicity 6)
Au 0.0000 0.0000 0.1298 (multiplicity 6)
Au 0.0000 0.0000 0.3784 (multiplicity 6)

Values from the calculation:
ΔE_f ... -0.843 eV/atom



(7)
The following is a DFT calculation (PBE) of a relaxed structure of CaEr5Au6.

abc: 15.987 7.149 5.051
angles: 90.00 108.16 90.00
Space group C2/m (No. 12)
Unique sites:
Ca 0.000 0.000 0.000 (multiplicity 2)
Er 0.000 0.500 0.000 (multiplicity 2)
Er 0.162 0.000 0.662 (multiplicity 4)
Er 0.168 0.500 0.668 (multiplicity 4)
Au 0.000 0.264 0.500 (multiplicity 4)
Au 0.172 0.259 0.172 (multiplicity 8)

Values from the calculation:
ΔE_f ... -0.870 eV/atom



(8)
The following is a DFT calculation (PBE) of a relaxed structure of CaEr3Au4.

abc: 5.0457 5.0457 24.9747
angles: 90.00 90.00 120.00
Space group R-3m (No. 166, hexagonal axes)
Unique sites:
Ca 0.0000 0.0000 0.0000 (multiplicity 3)
Er 0.0000 0.0000 0.2514 (multiplicity 6)
Er 0.0000 0.0000 0.5000 (multiplicity 3)
Au 0.0000 0.0000 0.1303 (multiplicity 6)
Au 0.0000 0.0000 0.3794 (multiplicity 6)

Values from the calculation:
ΔE_f ... -0.857 eV/atom



The total magnetization results, record by record, are as follows: 0.0; 0.0; 0.0; 0.0; 0.0; 0.0; 0.0; 0.0 μB/f.u..
The calculated total energy results, record by record, are as follows: -29.02; -32.26; -35.51; -32.94; -29.70; -35.69; -54.92; -35.66 eV/f.u..